20
Lattice="5.755 0.000 0.000 0.000 8.191 0.000 0.000 0.000 5.752" Properties=species:S:1:pos:R:3 comment="SrNbO3 | Alexandria via LeMat-Bulk | PBE | relaxed" density_g_cm3=5.60 e_form_raw_kj_per_mol_atoms=-267 pbc="T T T"
Sr 0.102 2.048 0.003
Sr 2.776 6.143 2.879
Sr 2.979 2.048 2.873
Sr 5.654 6.143 5.749
Nb 0.000 0.000 2.876
Nb 0.000 4.095 2.876
Nb 2.878 0.000 0.000
Nb 2.878 4.095 0.000
O 0.035 6.143 2.649
O 1.266 4.258 4.488
O 1.266 8.028 4.488
O 1.612 0.163 1.612
O 1.612 3.933 1.612
O 2.842 2.048 5.525
O 2.913 6.143 0.228
O 4.143 4.258 4.140
O 4.143 8.028 4.140
O 4.490 0.163 1.264
O 4.490 3.933 1.264
O 5.720 2.048 3.104

---

20
Lattice="9.422 0.000 0.000 0.000 3.018 0.000 -3.444 0.000 9.042" Properties=species:S:1:pos:R:3 comment="SrNb3O6 | Alexandria via LeMat-Bulk | PBE | relaxed" density_g_cm3=5.97 e_form_raw_kj_per_mol_atoms=-230 pbc="T T T"
Sr -0.189 0.754 3.446
Sr 6.167 2.263 5.596
Nb 1.076 0.754 0.381
Nb -0.029 2.263 6.876
Nb 3.157 2.263 3.363
Nb 2.821 0.754 5.679
Nb 6.007 0.754 2.166
Nb 4.902 2.263 8.662
O 0.015 2.263 1.515
O -1.080 0.754 5.818
O -1.062 2.263 8.474
O 2.163 0.754 2.270
O 1.367 2.263 4.872
O 1.337 0.754 7.213
O 4.641 2.263 1.829
O 4.611 0.754 4.170
O 3.815 2.263 6.772
O 7.040 0.754 0.568
O 7.058 2.263 3.224
O 5.963 0.754 7.527

---

9
Lattice="5.382 0.000 0.000 -2.691 4.661 0.000 0.000 0.000 5.375" Properties=species:S:1:pos:R:3 comment="SrNb2O6 | Alexandria via LeMat-Bulk | PBE | relaxed" density_g_cm3=4.55 e_form_raw_kj_per_mol_atoms=-266 pbc="T T T"
Sr 0.000 0.000 0.000
Nb 0.000 3.107 2.688
Nb 2.691 1.554 2.688
O -1.023 1.772 3.804
O -1.668 2.889 1.571
O 2.046 0.000 3.804
O 1.023 1.772 1.571
O 3.336 0.000 1.571
O 1.668 2.889 3.804

---

8
Lattice="0.000 4.616 4.616 4.616 0.000 4.616 4.616 4.616 0.000" Properties=species:S:1:pos:R:3 comment="SrNb2O | Alexandria via LeMat-Bulk | PBE | relaxed" density_g_cm3=4.89 e_form_raw_kj_per_mol_atoms=-37 pbc="T T T"
Sr 1.154 1.154 1.154
Sr 8.077 8.077 8.077
Nb 4.616 2.308 2.308
Nb 2.308 4.616 2.308
Nb 2.308 2.308 4.616
Nb 4.616 4.616 4.616
O 3.462 3.462 3.462
O 5.769 5.769 5.769

---

19
Lattice="5.070 2.927 2.570 -5.070 2.927 2.570 0.000 -5.854 2.570" Properties=species:S:1:pos:R:3 comment="SrNb6O12 | Alexandria via LeMat-Bulk | PBE | relaxed" density_g_cm3=6.08 e_form_raw_kj_per_mol_atoms=-199 pbc="T T T"
Sr 0.000 0.000 0.000
Nb 0.000 -2.283 2.800
Nb -1.977 1.141 2.800
Nb -1.977 -1.141 4.910
Nb 1.977 1.141 2.800
Nb 1.977 -1.141 4.910
Nb 0.000 2.283 4.910
O -1.873 -3.244 3.855
O -3.746 0.000 3.855
O -1.414 -0.816 2.875
O 1.414 -0.816 2.875
O 0.000 1.632 2.875
O 1.873 -3.244 3.855
O -1.873 3.244 3.855
O 0.000 -1.632 4.835
O -1.414 0.816 4.835
O 1.414 0.816 4.835
O 3.746 0.000 3.855
O 1.873 3.244 3.855

---

48
Lattice="5.740 0.000 0.000 -2.870 4.971 0.000 0.000 0.000 23.328" Properties=species:S:1:pos:R:3 comment="Sr5Nb4O15 | Alexandria via LeMat-Bulk | PBE | relaxed" density_g_cm3=5.24 e_form_raw_kj_per_mol_atoms=-277 pbc="T T T"
Sr 0.000 0.000 5.832
Sr 0.000 0.000 17.496
Sr 0.000 3.314 3.293
Sr 0.000 3.314 10.999
Sr 0.000 3.314 14.956
Sr 0.000 3.314 22.663
Sr 2.870 1.657 0.664
Sr 2.870 1.657 8.371
Sr 2.870 1.657 12.328
Sr 2.870 1.657 20.035
Nb 0.000 0.000 2.124
Nb 0.000 0.000 9.539
Nb 0.000 0.000 13.788
Nb 0.000 0.000 21.203
Nb 0.000 3.314 7.061
Nb 0.000 3.314 18.725
Nb 2.870 1.657 4.603
Nb 2.870 1.657 16.267
O -1.298 2.249 5.832
O -1.572 2.723 17.496
O -0.407 1.648 1.301
O -1.646 3.794 12.965
O -0.296 1.647 19.731
O -1.592 3.891 8.067
O 0.296 1.647 8.067
O -1.296 4.404 19.731
O 0.407 1.648 12.965
O -1.239 4.500 1.301
O 1.574 0.567 15.260
O 1.279 1.080 3.596
O 1.631 0.471 10.362
O 1.224 1.177 22.026
O 2.596 0.000 5.832
O 1.298 2.249 17.496
O 3.144 0.000 17.496
O 1.572 2.723 5.832
O 1.646 3.794 1.301
O 1.239 4.500 12.965
O 1.592 3.891 19.731
O 1.296 4.404 8.067
O 4.109 0.471 22.026
O 2.463 3.323 10.362
O 4.166 0.567 3.596
O 2.574 3.324 15.260
O 4.462 1.080 15.260
O 3.166 3.324 3.596
O 4.516 1.177 10.362
O 3.278 3.323 22.026

---

5
Lattice="4.494 0.000 0.000 0.000 4.494 0.000 0.000 0.000 4.494" Properties=species:S:1:pos:R:3 comment="SrNb3O | Alexandria via LeMat-Bulk | PBE | relaxed" density_g_cm3=6.99 e_form_raw_kj_per_mol_atoms=-6 pbc="T T T"
Sr 0.000 0.000 0.000
Nb 0.000 2.247 2.247
Nb 2.247 0.000 2.247
Nb 2.247 2.247 0.000
O 2.247 2.247 2.247

---

20
Lattice="6.447 0.000 0.000 0.000 5.370 0.000 -0.953 0.000 7.986" Properties=species:S:1:pos:R:3 comment="SrNbO3 | Alexandria via LeMat-Bulk | PBE | relaxed" density_g_cm3=5.49 e_form_raw_kj_per_mol_atoms=-257 pbc="T T T"
Sr 0.623 1.167 1.345
Sr 0.147 1.518 5.339
Sr 5.347 3.852 2.648
Sr 4.870 4.203 6.641
Nb 2.691 3.884 0.440
Nb 2.215 4.171 4.433
Nb 3.279 1.199 3.553
Nb 2.802 1.486 7.546
O 0.785 3.637 0.756
O 0.308 4.418 4.749
O 1.096 0.457 7.486
O 1.573 2.228 3.492
O 2.027 3.119 6.492
O 2.503 4.936 2.499
O 2.990 0.434 5.488
O 3.467 2.251 1.495
O 3.921 3.142 4.494
O 4.397 4.913 0.501
O 5.185 0.952 3.237
O 4.709 1.733 7.231

---

10
Lattice="2.858 -7.733 0.000 2.858 7.733 0.000 0.000 0.000 4.824" Properties=species:S:1:pos:R:3 comment="SrNbO3 | Alexandria via LeMat-Bulk | PBE | relaxed" density_g_cm3=3.56 e_form_raw_kj_per_mol_atoms=-231 pbc="T T T"
Sr 2.858 4.840 3.618
Sr 2.858 -4.840 1.206
Nb 2.858 1.496 3.618
Nb 2.858 -1.496 1.206
O 1.411 2.698 3.618
O 1.411 -2.698 1.206
O 2.858 0.000 0.000
O 2.858 0.000 2.412
O 4.305 2.698 3.618
O 4.305 -2.698 1.206

---

7
Lattice="6.030 -1.557 0.000 6.030 1.557 0.000 -0.344 0.000 5.222" Properties=species:S:1:pos:R:3 comment="SrNb2O4 | Alexandria via LeMat-Bulk | PBE | relaxed" density_g_cm3=5.71 e_form_raw_kj_per_mol_atoms=-229 pbc="T T T"
Sr 0.000 0.000 0.000
Nb 2.789 0.000 3.711
Nb 8.927 0.000 1.511
O 1.486 0.000 1.958
O 4.097 0.000 0.516
O 7.618 0.000 4.706
O 10.230 0.000 3.265

---

30
Lattice="5.945 0.000 0.000 -2.973 5.149 0.000 0.000 0.000 15.911" Properties=species:S:1:pos:R:3 comment="Sr4Nb2O9 | Alexandria via LeMat-Bulk | PBE | relaxed" density_g_cm3=4.64 e_form_raw_kj_per_mol_atoms=-278 pbc="T T T"
Sr 0.000 0.000 0.000
Sr 0.000 0.000 3.978
Sr 0.000 0.000 7.955
Sr 0.000 0.000 11.933
Sr 0.000 3.433 2.228
Sr 0.000 3.433 5.728
Sr 2.973 1.716 10.183
Sr 2.973 1.716 13.683
Nb 0.000 3.433 10.405
Nb 0.000 3.433 13.461
Nb 2.973 1.716 2.450
Nb 2.973 1.716 5.505
O -1.545 3.052 11.933
O -0.573 1.804 9.584
O -0.573 1.804 14.282
O -1.124 4.743 9.584
O -1.124 4.743 14.282
O 1.276 1.398 1.629
O 1.276 1.398 6.326
O 1.102 2.285 11.933
O 2.530 0.188 3.978
O 0.443 4.961 11.933
O 1.870 2.864 3.978
O 1.697 3.751 9.584
O 1.697 3.751 14.282
O 4.097 0.406 1.629
O 4.097 0.406 6.326
O 3.545 3.345 1.629
O 3.545 3.345 6.326
O 4.518 2.097 3.978

---

10
Lattice="5.749 0.000 0.000 0.000 4.152 0.000 0.000 0.000 5.941" Properties=species:S:1:pos:R:3 comment="SrNbO3 | Alexandria via LeMat-Bulk | PBE | relaxed" density_g_cm3=5.35 e_form_raw_kj_per_mol_atoms=-250 pbc="T T T"
Sr 1.437 0.000 1.314
Sr 4.312 0.000 4.627
Nb 1.437 2.076 4.500
Nb 4.312 2.076 1.441
O 0.000 2.076 0.000
O 1.437 0.000 4.536
O 1.437 2.076 2.582
O 2.874 2.076 0.000
O 4.312 0.000 1.405
O 4.312 2.076 3.359